# 1
First-principles (PBE) data for a relaxed structure of K2PrErO4, as listed in Alexandria.

Output
N(E_F)	0.000	states/eV per atom
crystal system	monoclinic
space-group type	P2/m (10)
total DFT energy (no corrections)	-6.59	eV per atom
formation energy (no corrections)	-2.67	eV per atom

POSCAR file:
```
K2PrErO4
1.0
-0.790 1.922 -2.895
3.549 -3.708 -3.431
-6.133 -2.478 0.029
K Pr Er O
2 1 1 4
direct
0.500 0.000 0.500
0.000 0.500 0.500
0.500 0.500 0.000
0.000 0.000 0.000
0.500 0.217 0.186
0.500 0.783 0.814
0.000 0.256 0.811
0.000 0.744 0.189
```

=====

# 2
First-principles (PBE) data for a relaxed structure of Cr2WSe, as listed in Alexandria.

Output
N(E_F)	0.900	states/eV per atom
crystal system	monoclinic
space-group type	Cm (8)
total DFT energy (no corrections)	-8.56	eV per atom
formation energy (no corrections)	0.36	eV per atom

POSCAR file:
```
Cr2WSe
1.0
4.707 0.005 -0.040
3.736 2.863 -0.040
1.174 0.399 4.171
Cr Se W
2 1 1
direct
0.016 0.016 0.935
0.741 0.741 0.800
0.495 0.495 0.481
0.247 0.247 0.284
```

=====

# 3
First-principles (PBE) data for a relaxed structure of AcDy2Co, as listed in Alexandria.

Output
N(E_F)	1.377	states/eV per atom
crystal system	monoclinic
space-group type	P2_1/m (11)
energy of formation	-0.073	eV/atom
energy relative to the lowest polymorph listed for this composition	0	meV/atom
total DFT energy (no corrections)	-5.18	eV per atom

POSCAR file:
```
AcDy2Co
1.0
-2.870 -0.915 -2.253
5.452 -1.367 -3.261
-0.040 -8.972 3.695
Ac Dy Co
2 4 2
direct
0.417 0.834 0.250
0.583 0.166 0.750
0.147 0.292 0.425
0.853 0.708 0.575
0.853 0.708 0.925
0.147 0.292 0.075
0.740 0.478 0.250
0.260 0.522 0.750
```

=====

# 4
First-principles (PBE) data for a relaxed structure of Mg2AlAg, as listed in Alexandria.

Output
N(E_F)	0.336	states/eV per atom
crystal system	trigonal
space-group type	R3m (160)
energy of formation	-0.052	eV/atom
total DFT energy (no corrections)	-2.50	eV per atom

POSCAR file:
```
Mg2AlAg
1.0
-1.616 -1.379 -2.212
0.711 -2.855 -0.865
-6.213 -4.840 5.429
Mg Al Ag
2 1 1
direct
0.082 0.082 0.753
0.251 0.251 0.246
0.500 0.500 0.500
0.666 0.666 0.001
```

=====

# 5
First-principles (PBE) data for a relaxed structure of Pu2Ga2Ag, as listed in Alexandria.

Output
N(E_F)	3.113	states/eV per atom
crystal system	monoclinic
space-group type	C2/m (12)
energy of formation	-0.209	eV/atom
total DFT energy (no corrections)	-7.72	eV per atom

POSCAR file:
```
Pu2Ga2Ag
1.0
4.801 0.000 0.000
2.400 5.127 0.676
2.400 1.841 8.926
Pu Ga Ag
4 4 2
direct
0.334 0.265 0.067
0.549 0.260 0.642
0.666 0.735 0.933
0.451 0.740 0.358
0.984 0.172 0.860
0.132 0.336 0.401
0.016 0.828 0.140
0.868 0.664 0.599
0.760 0.165 0.315
0.240 0.835 0.685
```

=====

# 6
First-principles (PBE) data for a relaxed structure of Ho5Tl2Co2, as listed in Alexandria.

Output
N(E_F)	0.712	states/eV per atom
crystal system	orthorhombic
space-group type	Cmce (64)
energy of formation	-0.260	eV/atom
total DFT energy (no corrections)	-4.91	eV per atom

POSCAR file:
```
Ho5Tl2Co2
1.0
6.878 0.000 2.497
0.000 7.280 0.000
0.603 0.000 9.061
Ho Tl Co
10 4 4
direct
0.000 0.000 0.000
0.500 0.500 0.000
0.434 0.176 0.770
0.795 0.824 0.770
0.295 0.676 0.770
0.934 0.324 0.770
0.566 0.824 0.230
0.205 0.176 0.230
0.705 0.324 0.230
0.066 0.676 0.230
0.227 0.000 0.547
0.727 0.500 0.547
0.773 0.000 0.453
0.273 0.500 0.453
0.113 0.388 0.000
0.887 0.612 0.000
0.387 0.888 0.000
0.613 0.112 0.000
```

=====

# 7
First-principles (PBE) data for a relaxed structure of YTaCu2Bi, as listed in Alexandria.

Output
N(E_F)	0.925	states/eV per atom
crystal system	tetragonal
space-group type	P4/mmm (123)
energy of formation	1.328	eV/atom
total DFT energy (no corrections)	-4.75	eV per atom

POSCAR file:
```
YTaCu2Bi
1.0
4.845 0.000 0.000
0.000 5.819 0.000
0.000 0.000 4.845
Y Bi Cu Ta
1 1 2 1
direct
0.000 0.500 0.000
0.000 0.000 0.000
0.000 0.000 0.500
0.500 0.000 0.000
0.500 0.500 0.500
```

=====

# 8
First-principles (PBE) data for a relaxed structure of TmMg3In, as listed in Alexandria.

Output
N(E_F)	0.585	states/eV per atom
crystal system	triclinic
space-group type	P-1 (2)
energy of formation	-0.127	eV/atom
energy relative to the lowest polymorph listed for this composition	0	meV/atom
total DFT energy (no corrections)	-2.53	eV per atom

POSCAR file:
```
TmMg3In
1.0
7.265 -2.976 -2.097
-3.037 5.485 1.192
-2.348 1.940 8.558
Tm Mg In
2 6 2
direct
0.200 0.101 0.400
0.800 0.899 0.600
0.394 0.679 0.787
0.812 0.386 0.621
0.188 0.614 0.379
0.606 0.321 0.213
0.000 0.000 0.000
0.000 0.500 0.000
0.405 0.185 0.809
0.595 0.815 0.191
```

=====

Which value of N(E_F) does entry 5 give?
3.113 states/eV per atom

=====

Repeat the fourth record exactly.
First-principles (PBE) data for a relaxed structure of Mg2AlAg, as listed in Alexandria.

Output
N(E_F)	0.336	states/eV per atom
crystal system	trigonal
space-group type	R3m (160)
energy of formation	-0.052	eV/atom
total DFT energy (no corrections)	-2.50	eV per atom

POSCAR file:
```
Mg2AlAg
1.0
-1.616 -1.379 -2.212
0.711 -2.855 -0.865
-6.213 -4.840 5.429
Mg Al Ag
2 1 1
direct
0.082 0.082 0.753
0.251 0.251 0.246
0.500 0.500 0.500
0.666 0.666 0.001
```